Run P
DFT (meta-GGA SCAN) results for a PBEsol-optimized structure of TlSi2Os.

Unit cell a=3.173 b=4.631 c=4.631 alpha=108.81 beta=90.17 gamma=90.17
Atoms (fractional coordinates):
1 Si 0.000 0.000 0.500
2 Si 0.000 0.500 0.000
3 Os 0.500 0.500 0.500
4 Tl 0.500 0.000 0.000

Results
- total moment (Bohr magnetons per cell) = 0.0

---

Run Q
DFT (meta-GGA SCAN) results for a PBEsol-optimized structure of TlSi2Os.

Unit cell a=4.073 b=4.073 c=4.824 alpha=114.97 beta=114.97 gamma=90.00
Atoms (fractional coordinates):
1 Os 0.250 0.750 0.500
2 Tl 0.500 0.500 0.000
3 Si 0.750 0.250 0.500
4 Si 0.000 0.000 0.000

Results
- total moment (Bohr magnetons per cell) = 0.0

---

Most stable one: run P, least stable one: run Q.

---

Run P
DFT (meta-GGA SCAN) results for a PBEsol-optimized structure of Sr2TaOs.

Unit cell a=3.476 b=3.476 c=9.524 alpha=90.00 beta=90.00 gamma=90.00
Atoms (fractional coordinates):
1 Os 0.500 0.500 0.673
2 Sr 0.000 0.000 0.923
3 Sr 0.500 0.500 0.318
4 Ta 0.000 0.000 0.586

Results
- total moment (Bohr magnetons per cell) = 0.1

---

Run Q
DFT (meta-GGA SCAN) results for a PBEsol-optimized structure of Sr2TaOs.

Unit cell a=2.918 b=5.305 c=5.637 alpha=90.00 beta=90.00 gamma=90.00
Atoms (fractional coordinates):
1 Ta 0.500 0.500 0.000
2 Os 0.500 0.500 0.500
3 Sr 0.000 0.000 0.743
4 Sr 0.000 0.000 0.257

Results
- total moment (Bohr magnetons per cell) = 0.0

---

Most stable one: run P, least stable one: run Q.